Entry 1:
{
  "formula": "Pm3Cd7",
  "functional": "GGA-PBE",
  "state": "optimized geometry",
  "sg": "C2/m (12)",
  "dft_energy_ev_per_atom": -2.350,
  "e_form_ev_per_atom": -0.284,
  "lattice": [[4.745, 0.000, -1.456], [-0.763, 6.056, -2.486], [0.156, -0.293, 8.970]],
  "species": ["Cd", "Cd", "Cd", "Pm", "Cd", "Cd", "Cd", "Pm", "Pm", "Cd"],
  "fractional_positions": [[0.390, 0.631, 0.779], [0.197, 0.285, 0.394], [0.610, 0.369, 0.221], [0.207, 0.778, 0.414], [0.586, 0.829, 0.172], [0.000, 0.500, 0.000], [0.803, 0.715, 0.606], [0.000, 0.000, 0.000], [0.793, 0.222, 0.586], [0.414, 0.171, 0.828]]
}

Entry 2:
{
  "formula": "Pm3Cd5",
  "functional": "GGA-PBE",
  "state": "optimized geometry",
  "sg": "Cmmm (65)",
  "dft_energy_ev_per_atom": -2.644,
  "polymorph_energy_mev_per_atom": 0.0,
  "e_form_ev_per_atom": -0.291,
  "lattice": [[5.207, 0.000, 0.000], [0.000, 6.556, -0.667], [0.000, -1.491, 6.419]],
  "species": ["Cd", "Cd", "Cd", "Pm", "Pm", "Pm", "Cd", "Cd"],
  "fractional_positions": [[0.000, 0.000, 0.500], [0.500, 0.263, 0.263], [0.500, 0.737, 0.737], [0.500, 0.774, 0.226], [0.000, 0.500, 0.500], [0.500, 0.226, 0.774], [0.000, 0.000, 0.000], [0.000, 0.500, 0.000]]
}

Entry 3:
{
  "formula": "PmCd11",
  "functional": "GGA-PBE",
  "state": "optimized geometry",
  "sg": "I4_1/amd (141)",
  "dft_energy_ev_per_atom": -1.324,
  "e_form_ev_per_atom": -0.089,
  "lattice": [[7.070, 0.000, 3.224], [3.535, 8.449, 1.612], [0.029, 0.000, 9.299]],
  "species": ["Cd", "Cd", "Pm", "Cd", "Cd", "Cd", "Cd", "Cd", "Cd", "Cd", "Cd", "Cd", "Cd", "Cd", "Pm", "Cd", "Cd", "Cd", "Cd", "Cd", "Cd", "Cd", "Cd", "Cd"],
  "fractional_positions": [[0.326, 0.081, 0.678], [0.875, 0.750, 0.250], [0.500, 0.000, 0.000], [0.326, 0.678, 0.081], [0.375, 0.750, 0.750], [0.157, 0.419, 0.178], [0.157, 0.178, 0.419], [0.085, 0.322, 0.919], [0.424, 0.822, 0.419], [0.875, 0.250, 0.750], [0.996, 0.678, 0.919], [0.665, 0.581, 0.178], [0.750, 0.500, 0.500], [0.000, 0.000, 0.000], [0.250, 0.500, 0.500], [0.593, 0.081, 0.322], [0.424, 0.419, 0.822], [0.996, 0.919, 0.678], [0.754, 0.581, 0.822], [0.085, 0.919, 0.322], [0.593, 0.322, 0.081], [0.754, 0.822, 0.581], [0.875, 0.250, 0.250], [0.665, 0.178, 0.581]]
}

Entry 4:
{
  "formula": "Pm2Cd17",
  "functional": "GGA-PBE",
  "state": "optimized geometry",
  "sg": "R-3m (166)",
  "dft_energy_ev_per_atom": -1.465,
  "e_form_ev_per_atom": -0.146,
  "lattice": [[7.667, -0.024, -0.021], [1.064, 7.593, -0.021], [1.064, 0.922, 7.537]],
  "species": ["Cd", "Cd", "Cd", "Cd", "Cd", "Cd", "Cd", "Cd", "Pm", "Cd", "Cd", "Cd", "Pm", "Cd", "Cd", "Cd", "Cd", "Cd", "Cd"],
  "fractional_positions": [[0.699, 0.000, 0.301], [0.301, 0.699, 0.000], [0.360, 0.838, 0.360], [0.640, 0.640, 0.162], [0.360, 0.360, 0.838], [0.000, 0.500, 0.000], [0.899, 0.899, 0.899], [0.000, 0.000, 0.500], [0.670, 0.670, 0.670], [0.301, 0.000, 0.699], [0.640, 0.162, 0.640], [0.101, 0.101, 0.101], [0.330, 0.330, 0.330], [0.162, 0.640, 0.640], [0.699, 0.301, 0.000], [0.000, 0.699, 0.301], [0.000, 0.301, 0.699], [0.838, 0.360, 0.360], [0.500, 0.000, 0.000]]
}

Entry 5:
{
  "formula": "Pm4Cd",
  "functional": "GGA-PBE",
  "state": "optimized geometry",
  "sg": "Pm-3m (221)",
  "dft_energy_ev_per_atom": -3.600,
  "polymorph_energy_mev_per_atom": 498.8,
  "e_form_ev_per_atom": 0.383,
  "lattice": [[5.805, 0.000, 0.000], [0.000, 5.805, 0.000], [0.000, 0.000, 5.805]],
  "species": ["Pm", "Pm", "Pm", "Cd", "Pm"],
  "fractional_positions": [[0.000, 0.000, 0.000], [0.500, 0.000, 0.500], [0.500, 0.500, 0.000], [0.500, 0.500, 0.500], [0.000, 0.500, 0.500]]
}

Entry 6:
{
  "formula": "Pm8Cd",
  "functional": "GGA-PBE",
  "state": "optimized geometry",
  "sg": "I4/mmm (139)",
  "dft_energy_ev_per_atom": -4.342,
  "polymorph_energy_mev_per_atom": 0.0,
  "e_form_ev_per_atom": -0.018,
  "lattice": [[-7.093, 3.521, 1.407], [-2.769, -7.543, 0.361], [4.395, 5.453, 3.955]],
  "species": ["Pm", "Pm", "Pm", "Pm", "Pm", "Cd", "Pm", "Pm", "Pm"],
  "fractional_positions": [[0.331, 0.000, 0.331], [0.328, 0.664, 0.664], [0.669, 0.000, 0.669], [0.000, 0.664, 0.336], [0.000, 0.336, 0.664], [0.000, 0.000, 0.000], [0.331, 0.331, 0.000], [0.672, 0.336, 0.336], [0.669, 0.669, 0.000]]
}